SmCoO3 | PBE+U | optimized geometry

## Properties
Total DFT energy (no corrections) = -6.7600 eV per atom
N(E_F) = 1.39 states/eV per cell

Cell lengths 6.554, 6.554, 6.554 Å; angles 153.83, 100.04, 85.89 degrees
Sites, in units of the cell vectors:
Sm1 0.192 0.000 0.192
Sm2 0.808 0.000 0.808
Co1 0.324 0.824 0.500
Co2 0.676 0.176 0.500
O1 0.122 0.622 0.500
O2 0.208 0.355 0.853
O3 0.497 0.645 0.853
O4 0.503 0.355 0.147
O5 0.792 0.645 0.147
O6 0.878 0.378 0.500